# 1
DFT (PBE-GGA) results for a geometry-optimized AcSm2Gd structure.

Cell lengths 13.0384, 13.0384, 13.0384 Å; angles 16.00, 16.00, 16.00 degrees
With the nearest neighbours (Å) after each atom.
Fractional coordinates of all 4 atoms:
Ac1 0.0000 0.0000 0.0000  2 Sm 3.56, 6 Ac 3.63
Sm1 0.0921 0.0921 0.0921  1 Ac 3.56, 3 Gd 3.56, 6 Sm 3.63
Sm2 0.9079 0.9079 0.9079  1 Ac 3.56, 3 Gd 3.56, 6 Sm 3.63
Gd1 0.5000 0.5000 0.5000  6 Sm 3.56, 6 Gd 3.63

Values from the calculation:
- ΔH_f (0 K): 0.17 eV per atom
- Crystal system: trigonal
- E above lowest polymorph: 140 meV/atom
- Calculated density: 7.75 g/cm3

=====

# 2
DFT (PBE-GGA) results for a geometry-optimized AcSmGd2 structure.

Cell lengths 3.7235, 3.7235, 10.3170 Å; angles 90.00, 90.00, 90.00 degrees
With the nearest neighbours (Å) after each atom.
Fractional coordinates of all 4 atoms:
Ac1 0.0000 0.0000 0.0000  4 Ac 3.72, 8 Gd 3.78
Sm1 0.0000 0.0000 0.5000  8 Gd 3.59, 4 Sm 3.72
Gd1 0.5000 0.5000 0.2628  4 Sm 3.59, 4 Gd 3.72, 4 Ac 3.78
Gd2 0.5000 0.5000 0.7372  4 Sm 3.59, 4 Gd 3.72, 4 Ac 3.78

Values from the calculation:
- ΔH_f (0 K): 0.04 eV per atom
- Crystal system: tetragonal
- E above lowest polymorph: 4 meV/atom
- Calculated density: 8.03 g/cm3

=====

# 3
DFT (PBE-GGA) results for a geometry-optimized AcSm2Gd structure.

Cell lengths 3.7456, 3.7456, 10.3009 Å; angles 90.00, 90.00, 90.00 degrees
With the nearest neighbours (Å) after each atom.
Fractional coordinates of all 4 atoms:
Ac1 0.0000 0.0000 0.0000  4 Ac 3.75, 8 Sm 3.79
Sm1 0.5000 0.5000 0.2628  4 Gd 3.60, 4 Sm 3.75, 4 Ac 3.79
Sm2 0.5000 0.5000 0.7372  4 Gd 3.60, 4 Sm 3.75, 4 Ac 3.79
Gd1 0.0000 0.0000 0.5000  8 Sm 3.60, 4 Gd 3.75

Values from the calculation:
- ΔH_f (0 K): 0.04 eV per atom
- Crystal system: tetragonal
- E above lowest polymorph: 11 meV/atom
- Calculated density: 7.87 g/cm3